Material: BaSbSN2
Method: DFT, PBE
State: relaxed

Cell lengths 4.298, 4.298, 5.204 Å; angles 90.00, 90.00, 90.00 degrees
Each line ends with the local moment (μB).
Element x y z (fractional)
1 Sb 0.000 0.000 0.000  -0.02
2 S 0.000 0.000 0.500  0.04
3 Ba 0.500 0.500 0.500  0.00
4 N 0.000 0.500 0.000  0.42
5 N 0.500 0.000 0.000  0.42

Properties
- mass density (Mg/m³) = 5.5
- excess energy over the best structure of this formula in the dataset (eV per formula unit) = 0.000
- energy relative to the elements, uncorrected (eV per atom) = 0.1557
- total energy (eV per cell) = -26.0
- symmetry = No. 123